Compound: Pr5Mg4Al4
Source: Alexandria via LeMat-Bulk
Functional: PBE
Structure: relaxed

a = 4.5982 Å, b = 9.0252 Å, c = 9.0252 Å
α = 86.28°, β = 75.24°, γ = 75.24°
Last column: nearest neighbours and their distance in Å.
Fractional coordinates of all 13 atoms:
Al 0.9448 0.8012 0.3093  3 Mg 2.87-2.89, 1 Pr 3.21
Al 0.0552 0.1988 0.6907  3 Mg 2.87-2.89, 1 Pr 3.21
Al 0.2540 0.6907 0.8012  3 Mg 2.87-2.89, 1 Pr 3.21
Al 0.7460 0.3093 0.1988  3 Mg 2.87-2.89, 1 Pr 3.21
Pr 0.0000 0.0000 0.0000  4 Al 3.21
Pr 0.7038 0.9290 0.6634  5 Al 3.29-3.32, 4 Mg 3.51-3.58
Pr 0.6328 0.6634 0.0710  5 Al 3.29-3.32, 4 Mg 3.51-3.58
Pr 0.3672 0.3366 0.9290  5 Al 3.29-3.32, 4 Mg 3.51-3.58
Pr 0.2962 0.0710 0.3366  5 Al 3.29-3.32, 4 Mg 3.51-3.58
Mg 0.5779 0.3165 0.5277  3 Al 2.87-2.89
Mg 0.8944 0.5277 0.6835  3 Al 2.87-2.89
Mg 0.4221 0.6835 0.4723  3 Al 2.87-2.89
Mg 0.1056 0.4723 0.3165  3 Al 2.87-2.89

Energy of formation ... -0.226 eV/atom
Space-group type ... I4/m, No. 87